Record 1
# Mn2HAuBr PBE relaxed
data_Mn2HAuBr
_chemical_formula_sum 'Mn2 H1 Au1 Br1'
_cell_length_a 3.9486
_cell_length_b 5.0752
_cell_length_c 3.9486
_cell_angle_alpha 90.00
_cell_angle_beta 90.00
_cell_angle_gamma 90.00
_space_group_name_H-M_alt 'P 1'
_space_group_IT_number 1
loop_
_space_group_symop_operation_xyz
'x,y,z'
loop_
_atom_site_label
_atom_site_type_symbol
_atom_site_fract_x
_atom_site_fract_y
_atom_site_fract_z
Mn1 Mn 0.5000 0.0000 0.0000
Mn2 Mn 0.0000 0.0000 0.5000
H1 H 0.0000 0.0000 0.0000
Br1 Br 0.0000 0.5000 0.0000
Au1 Au 0.5000 0.5000 0.5000
# * electronic total energy: -4.845 eV/atom

***

Record 2
# GdVN2 PBE relaxed
data_GdVN2
_chemical_formula_sum 'Gd1 V1 N2'
_cell_length_a 3.1782
_cell_length_b 3.1782
_cell_length_c 5.5849
_cell_angle_alpha 73.47
_cell_angle_beta 73.47
_cell_angle_gamma 60.00
_space_group_name_H-M_alt 'P 1'
_space_group_IT_number 1
loop_
_space_group_symop_operation_xyz
'x,y,z'
loop_
_atom_site_label
_atom_site_type_symbol
_atom_site_fract_x
_atom_site_fract_y
_atom_site_fract_z
V1 V 0.0000 0.0000 0.0000
N1 N 0.7359 0.7359 0.7922
N2 N 0.2641 0.2641 0.2078
Gd1 Gd 0.5000 0.5000 0.5000
# * formation energy without anion corrections: -4.603 eV/f.u.

***

Record 3
# Nd6CoPt2I3 PBE relaxed
data_Nd6CoPt2I3
_chemical_formula_sum 'Nd6 Co1 Pt2 I3'
_cell_length_a 7.3086
_cell_length_b 7.3086
_cell_length_c 8.4384
_cell_angle_alpha 98.28
_cell_angle_beta 98.28
_cell_angle_gamma 120.03
_space_group_name_H-M_alt 'P 1'
_space_group_IT_number 1
loop_
_space_group_symop_operation_xyz
'x,y,z'
loop_
_atom_site_label
_atom_site_type_symbol
_atom_site_fract_x
_atom_site_fract_y
_atom_site_fract_z
I1 I 0.1662 0.8338 0.5000
I2 I 0.5000 0.5000 0.5000
I3 I 0.8338 0.1662 0.5000
Nd1 Nd 0.0612 0.3780 0.1840
Nd2 Nd 0.3780 0.0612 0.1840
Nd3 Nd 0.6220 0.9388 0.8160
Nd4 Nd 0.9388 0.6220 0.8160
Nd5 Nd 0.7449 0.7449 0.1846
Nd6 Nd 0.2551 0.2551 0.8154
Pt1 Pt 0.6666 0.3334 0.0000
Pt2 Pt 0.3334 0.6666 0.0000
Co1 Co 0.0000 0.0000 0.0000
# * formation energy without anion corrections: -11.374 eV/f.u.

***

Copy entry 2 word for word.
# GdVN2 PBE relaxed
data_GdVN2
_chemical_formula_sum 'Gd1 V1 N2'
_cell_length_a 3.1782
_cell_length_b 3.1782
_cell_length_c 5.5849
_cell_angle_alpha 73.47
_cell_angle_beta 73.47
_cell_angle_gamma 60.00
_space_group_name_H-M_alt 'P 1'
_space_group_IT_number 1
loop_
_space_group_symop_operation_xyz
'x,y,z'
loop_
_atom_site_label
_atom_site_type_symbol
_atom_site_fract_x
_atom_site_fract_y
_atom_site_fract_z
V1 V 0.0000 0.0000 0.0000
N1 N 0.7359 0.7359 0.7922
N2 N 0.2641 0.2641 0.2078
Gd1 Gd 0.5000 0.5000 0.5000
# * formation energy without anion corrections: -4.603 eV/f.u.